# NaMoPO6 PBE+U optimized geometry
# - E above lowest polymorph (eV per atom) = 0.221
# - total magnetic moment (μB/atom) = 0.0000
# - VASP energy (eV/atom) = -6.563
# - symmetry = P312
data_NaMoPO6
_chemical_formula_sum 'Na1 Mo1 P1 O6'
_symmetry_space_group_name_H-M 'P 1'
_symmetry_Int_Tables_number 1
_cell_length_a 4.936
_cell_length_b 4.936
_cell_length_c 5.200
_cell_angle_alpha 90.00
_cell_angle_beta 90.00
_cell_angle_gamma 60.00
loop_
_symmetry_equiv_pos_as_xyz
'x,y,z'
loop_
_atom_site_label
_atom_site_fract_x
_atom_site_fract_y
_atom_site_fract_z
_atom_site_occupancy
Na1 0.000 0.000 0.000 1
Mo1 0.667 0.667 0.500 1
O1 0.033 0.602 0.692 1
P1 0.333 0.333 0.500 1
O2 0.602 0.033 0.308 1
O3 0.033 0.365 0.308 1
O4 0.602 0.365 0.692 1
O5 0.365 0.033 0.692 1
O6 0.365 0.602 0.308 1